(1)
# CsKNa2Li12Si4O16 | Alexandria via LeMat-Bulk | PBEsol | optimized geometry
# volume = 10.66 Å³ per atom
# symmetry = I4/m, No. 87
# energy relative to the elements, uncorrected = -8132 kJ/mol of formula units
data_CsKNa2Li12Si4O16
_cell_length_a 6.364
_cell_length_b 8.394
_cell_length_c 8.394
_cell_angle_alpha 81.74
_cell_angle_beta 67.72
_cell_angle_gamma 67.72
_space_group_name_H-M_alt 'P 1'
_space_group_IT_number 1
loop_
_space_group_symop_operation_xyz
'x,y,z'
loop_
_atom_site_label
_atom_site_type_symbol
_atom_site_fract_x
_atom_site_fract_y
_atom_site_fract_z
Cs1 Cs 0.000 0.000 0.000
K1 K 0.500 0.000 0.000
Na1 Na 0.250 0.500 0.500
Na2 Na 0.750 0.500 0.500
Li1 Li 0.075 0.213 0.637
Li2 Li 0.712 0.363 0.213
Li3 Li 0.925 0.787 0.363
Li4 Li 0.288 0.637 0.787
Li5 Li 0.631 0.351 0.870
Li6 Li 0.982 0.870 0.649
Li7 Li 0.369 0.649 0.130
Li8 Li 0.852 0.649 0.130
Li9 Li 0.148 0.351 0.870
Li10 Li 0.498 0.870 0.649
Li11 Li 0.018 0.130 0.351
Li12 Li 0.502 0.130 0.351
Si1 Si 0.215 0.363 0.206
Si2 Si 0.785 0.637 0.794
Si3 Si 0.579 0.206 0.637
Si4 Si 0.421 0.794 0.363
O1 O 0.190 0.889 0.297
O2 O 0.487 0.703 0.889
O3 O 0.376 0.111 0.703
O4 O 0.080 0.297 0.111
O5 O 0.513 0.297 0.111
O6 O 0.810 0.111 0.703
O7 O 0.920 0.703 0.889
O8 O 0.624 0.889 0.297
O9 O 0.563 0.599 0.276
O10 O 0.162 0.276 0.401
O11 O 0.838 0.724 0.599
O12 O 0.437 0.401 0.724
O13 O 0.901 0.426 0.772
O14 O 0.327 0.772 0.574
O15 O 0.673 0.228 0.426
O16 O 0.099 0.574 0.228

(2)
# Cs2KMgSc | Alexandria via LeMat-Bulk | PBEsol | optimized geometry
# formation enthalpy at 0 K = 852 meV per atom
# volume = 69.97 Å³ per atom
# symmetry = P4/mmm, No. 123
data_Cs2KMgSc
_cell_length_a 6.753
_cell_length_b 7.198
_cell_length_c 7.198
_cell_angle_alpha 90.00
_cell_angle_beta 90.00
_cell_angle_gamma 90.00
_space_group_name_H-M_alt 'P 1'
_space_group_IT_number 1
loop_
_space_group_symop_operation_xyz
'x,y,z'
loop_
_atom_site_label
_atom_site_type_symbol
_atom_site_fract_x
_atom_site_fract_y
_atom_site_fract_z
Cs1 Cs 0.000 0.000 0.500
Cs2 Cs 0.000 0.500 0.000
Sc1 Sc 0.500 0.500 0.500
K1 K 0.500 0.000 0.000
Mg1 Mg 0.000 0.000 0.000

(3)
# Cs2KMn | Alexandria via LeMat-Bulk | PBEsol | optimized geometry
# formation enthalpy at 0 K = 794 meV per atom
# volume = 58.12 Å³ per atom
# symmetry = Fm-3m, No. 225
data_Cs2KMn
_cell_length_a 6.902
_cell_length_b 6.902
_cell_length_c 6.902
_cell_angle_alpha 60.00
_cell_angle_beta 60.00
_cell_angle_gamma 60.00
_space_group_name_H-M_alt 'P 1'
_space_group_IT_number 1
loop_
_space_group_symop_operation_xyz
'x,y,z'
loop_
_atom_site_label
_atom_site_type_symbol
_atom_site_fract_x
_atom_site_fract_y
_atom_site_fract_z
Cs1 Cs 0.250 0.250 0.250
Cs2 Cs 0.750 0.750 0.750
K1 K 0.000 0.000 0.000
Mn1 Mn 0.500 0.500 0.500

(4)
# CsKN2 | Alexandria via LeMat-Bulk | PBEsol | optimized geometry
# volume = 22.05 Å³ per atom
# symmetry = Fm-3m, No. 225
# energy relative to the elements, uncorrected = 524 kJ/mol of formula units
data_CsKN2
_cell_length_a 4.996
_cell_length_b 4.996
_cell_length_c 4.996
_cell_angle_alpha 60.00
_cell_angle_beta 60.00
_cell_angle_gamma 60.00
_space_group_name_H-M_alt 'P 1'
_space_group_IT_number 1
loop_
_space_group_symop_operation_xyz
'x,y,z'
loop_
_atom_site_label
_atom_site_type_symbol
_atom_site_fract_x
_atom_site_fract_y
_atom_site_fract_z
Cs1 Cs 0.500 0.500 0.500
K1 K 0.000 0.000 0.000
N1 N 0.250 0.250 0.250
N2 N 0.750 0.750 0.750

no.,spin magnetization (μB/cell),density of states at the Fermi level (states/eV/f.u.),E_tot (eV/atom)
1,0.00,0.00,-6.104
2,1.61,9.25,-1.416
3,4.28,5.30,-2.400
4,4.00,3.77,-3.425